No. 1
DFT (PBE) results for an optimized crystal structure of TmCd4Bi.

Values from the calculation:
V	599.9	Å³/cell
theoretical density	9.16	g/cm³

a b c (Å): 8.434 8.434 8.434
angles (deg): 90.00 90.00 90.00
Space group F-43m (No. 216)
One atom of each set of equivalent atoms:
Tm  0.000  0.000  0.000 [4 per cell]
Cd  0.125  0.125  0.625 [16 per cell]
Bi  0.250  0.250  0.250 [4 per cell]

=====

No. 2
DFT (PBE) results for an optimized crystal structure of Tm4CdBi.

Values from the calculation:
energy above the lowest structure with this stoichiometry	202.7	meV/atom
V	748.3	Å³/cell
theoretical density	8.85	g/cm³

a b c (Å): 5.582 20.929 6.405
angles (deg): 90.00 90.00 90.00
Space group Cmcm (No. 63)
One atom of each set of equivalent atoms:
Tm  0.000  0.063  0.250 [4 per cell]
Tm  0.000  0.207  0.003 [8 per cell]
Tm  0.000  0.366  0.250 [4 per cell]
Cd  0.000  0.078  0.750 [4 per cell]
Bi  0.000  0.350  0.750 [4 per cell]

=====

What are the E_form values for these records? In order: -0.055; -0.129 eV/atom.